# PBE+U CoIO, optimized geometry
# Magnetic moment = 2.42 μB per formula unit
# Total DFT energy (no corrections) = -4.152 eV/atom
# Symmetry = No. 166
data_CoIO
_space_group_name_H-M_alt 'P 1'
_space_group_IT_number 1
_cell_length_a 3.5261
_cell_length_b 3.5261
_cell_length_c 9.6946
_cell_angle_alpha 100.48
_cell_angle_beta 100.48
_cell_angle_gamma 60.00
loop_
_space_group_symop_operation_xyz
'x,y,z'
loop_
_atom_site_label
_atom_site_type_symbol
_atom_site_fract_x
_atom_site_fract_y
_atom_site_fract_z
O1 O 0.8623 0.8623 0.5870
O2 O 0.1377 0.1377 0.4130
Co1 Co 0.7927 0.7927 0.3782
Co2 Co 0.2073 0.2073 0.6218
I1 I 0.6151 0.6151 0.8454
I2 I 0.3849 0.3849 0.1546